12
Lattice="5.777 0.000 0.000 0.000 7.122 0.000 0.000 0.000 9.980" Properties=species:S:1:pos:R:3 comment="LaPm2Sm2Y | Alexandria | GGA-PBE | optimized geometry" spacegroup=Pmma formation_energy_ev_per_atom=0.0545 pbc="T T T"
La 0.000 3.617 4.990
La 0.000 0.056 4.990
Sm 2.888 0.052 0.000
Sm 0.000 1.832 1.687
Sm 0.000 5.393 8.293
Sm 2.888 3.613 9.980
Y 2.888 5.398 3.341
Y 2.888 1.837 6.639
Pm 0.000 1.832 8.371
Pm 2.888 5.398 6.713
Pm 2.888 1.837 3.268
Pm 0.000 5.393 1.610

***

10
Lattice="3.414 0.000 0.000 0.000 9.322 -0.093 0.000 -0.011 9.322" Properties=species:S:1:pos:R:3 comment="Tl3In4Sn3 | Alexandria | GGA-PBE | optimized geometry" spacegroup=Amm2 formation_energy_ev_per_atom=0.0499 pbc="T T T"
In 0.000 3.394 5.887
In 0.000 1.278 1.332
In 0.000 5.953 3.305
In 0.000 7.967 7.963
Tl 1.707 1.462 7.837
Tl 0.000 9.246 4.516
Tl 0.000 4.714 0.024
Sn 1.707 3.228 3.164
Sn 1.707 6.118 6.030
Sn 1.707 7.861 1.381

***

9
Lattice="-1.314 -2.079 3.787 3.579 -4.122 -3.713 7.018 3.808 4.526" Properties=species:S:1:pos:R:3 comment="Ac3Ga4Sn2 | Alexandria | GGA-PBE | optimized geometry" spacegroup=C2/m formation_energy_ev_per_atom=-0.6446 pbc="T T T"
Sn 2.121 -1.229 2.754
Sn 7.162 -1.164 1.846
Ac 0.000 0.000 0.000
Ac 4.276 -2.209 0.271
Ac 5.008 -0.184 4.329
Ga 6.573 -3.567 3.015
Ga 0.734 -3.070 1.261
Ga 2.710 1.174 1.585
Ga 8.549 0.677 3.339

***

11
Lattice="7.240 -0.002 0.057 -3.580 6.293 0.057 -1.312 -2.256 8.221" Properties=species:S:1:pos:R:3 comment="Rb2Sm2SnSe6 | Alexandria | GGA-PBE | optimized geometry" spacegroup=C2/m formation_energy_uncorrected_ev_per_atom=-1.3247 pbc="T T T"
Se 4.139 3.183 2.609
Se -1.792 0.853 5.727
Se 0.491 0.844 2.583
Se 0.721 5.172 2.609
Se 1.627 -1.136 5.727
Se 1.857 3.192 5.753
Rb 5.394 1.072 0.057
Rb -1.734 5.219 0.057
Sm -0.648 3.078 4.168
Sm 2.996 0.958 4.168
Sn -0.656 -1.128 4.111

***

6
Lattice="-2.790 2.489 -2.254 0.544 -2.580 -3.522 -5.238 -2.475 3.752" Properties=species:S:1:pos:R:3 comment="Hf5Zn | Alexandria | GGA-PBE | optimized geometry" spacegroup=Cmmm formation_energy_ev_per_atom=-0.0194 polymorph_energy_ev_per_fu=0.16 pbc="T T T"
Hf -1.123 -0.046 -2.888
Hf -3.024 0.010 -0.474
Hf -1.365 -2.532 -1.105
Hf -4.460 -2.576 -1.550
Hf -3.328 -2.523 1.334
Zn 0.000 0.000 0.000

***

4
Lattice="-1.444 -4.721 7.163 2.397 -3.444 7.621 -0.698 -0.988 8.615" Properties=species:S:1:pos:R:3 comment="TlCd2Br | Alexandria | GGA-PBE | optimized geometry" spacegroup=R-3m formation_energy_uncorrected_ev_per_atom=-0.1780 polymorph_energy_ev_per_fu=0.48 pbc="T T T"
Cd 0.000 -0.014 0.035
Cd 0.127 -4.562 11.664
Br 0.191 -6.864 17.550
Tl 0.064 -2.288 5.850

***

| no. | total moment (μB/atom) |
| --- | --- |
| 1 | 0.00 |
| 2 | 0.00 |
| 3 | 0.00 |
| 4 | 0.00 |
| 5 | 0.00 |
| 6 | 0.00 |